[1]
A plane-wave DFT calculation with PBE was carried out for crystalline Tb7Pm3Y at its relaxed geometry.

Cell lengths 7.009, 5.566, 10.030 Å; angles 90.00, 110.17, 90.00 degrees
Sites, in units of the cell vectors:
Tb  0.000  0.000  0.000
Tb  0.145  0.500  0.289
Tb  0.321  0.500  0.638
Tb  0.418  0.000  0.829
Tb  0.582  0.000  0.171
Tb  0.679  0.500  0.362
Tb  0.855  0.500  0.711
Pm  0.000  0.000  0.500
Pm  0.282  0.500  0.999
Pm  0.718  0.500  0.001
Y  0.500  0.000  0.500

Values from the calculation:
- total magnetic moment (Bohr magnetons per cell) = 0.000
- distance to the lowest polymorph of the same formula (kJ/mol of atoms) = 0.0
- D(E_F) (states/eV per cell) = 16.48
- electronic total energy (eV/atom) = -4.693
- V (Å³/cell) = 367.32
- formation enthalpy at 0 K (meV per atom) = 137

[2]
A plane-wave DFT calculation with PBE was carried out for crystalline Tb2PmY at its relaxed geometry.

Cell lengths 11.796, 11.796, 11.796 Å; angles 17.60, 17.60, 17.60 degrees
Sites, in units of the cell vectors:
Tb  0.000  0.000  0.000
Tb  0.168  0.168  0.168
Pm  0.750  0.750  0.750
Y  0.584  0.584  0.584

Values from the calculation:
- total magnetic moment (Bohr magnetons per cell) = 0.001
- distance to the lowest polymorph of the same formula (kJ/mol of atoms) = 0.0
- D(E_F) (states/eV per cell) = 5.86
- electronic total energy (eV/atom) = -5.105
- V (Å³/cell) = 130.96
- formation enthalpy at 0 K (meV per atom) = 14

[3]
A plane-wave DFT calculation with PBE was carried out for crystalline Tb2Pm3Y at its relaxed geometry.

Cell lengths 6.856, 6.856, 17.728 Å; angles 102.06, 102.06, 30.09 degrees
Sites, in units of the cell vectors:
Tb  0.133  0.133  0.001
Tb  0.301  0.301  0.665
Tb  0.699  0.699  0.335
Tb  0.867  0.867  0.999
Pm  0.127  0.127  0.490
Pm  0.231  0.231  0.836
Pm  0.433  0.433  0.334
Pm  0.567  0.567  0.666
Pm  0.769  0.769  0.164
Pm  0.873  0.873  0.510
Y  0.041  0.041  0.182
Y  0.959  0.959  0.818

Values from the calculation:
- total magnetic moment (Bohr magnetons per cell) = 0.000
- distance to the lowest polymorph of the same formula (kJ/mol of atoms) = 10.4
- D(E_F) (states/eV per cell) = 20.09
- electronic total energy (eV/atom) = -4.893
- V (Å³/cell) = 407.84
- formation enthalpy at 0 K (meV per atom) = 103